one.
Density functional theory data (GGA-PBE) for an optimized crystal structure of KCdGeAu2.

For the density of states at the Fermi level, the calculation gives 4.376 states/eV/f.u.

It has space group P4/mmm (No. 123), with a = 5.623 Å, b = 5.623 Å, c = 5.764 Å, α = 90.00°, β = 90.00° and γ = 90.00°. The distinct sites, in fractional coordinates, are K at (0.000, 0.000, 0.000), Cd at (0.500, 0.500, 0.500), Ge at (0.000, 0.000, 0.500) and Au at (0.000, 0.500, 0.000).

two.
Density functional theory data (GGA-PBE) for an optimized crystal structure of KCdGeAu2.

For the density of states at the Fermi level, the calculation gives 2.023 states/eV/f.u.

It has space group P4/mmm (No. 123), with a = 5.181 Å, b = 5.181 Å, c = 5.255 Å, α = 90.00°, β = 90.00° and γ = 90.00°. The distinct sites, in fractional coordinates, are K at (0.000, 0.000, 0.000), Cd at (0.500, 0.500, 0.000), Ge at (0.500, 0.500, 0.500) and Au at (0.000, 0.500, 0.500).

Most stable = two

one.
Density functional theory data (GGA-PBE) for an optimized crystal structure of CdHAu.

For the density of states at the Fermi level, the calculation gives 0.636 states/eV/f.u.

It has space group P-1 (No. 2), with a = 2.984 Å, b = 4.836 Å, c = 7.363 Å, α = 71.21°, β = 87.80° and γ = 89.65°. The distinct sites, in fractional coordinates, are Cd at (0.235, 0.092, 0.313), H at (0.498, 0.527, 0.445) and Au at (0.241, 0.726, 0.047).

two.
Density functional theory data (GGA-PBE) for an optimized crystal structure of CdHAu.

For the density of states at the Fermi level, the calculation gives 0.577 states/eV/f.u.

It has space group P1 (No. 1), with a = 4.626 Å, b = 4.707 Å, c = 5.047 Å, α = 64.05°, β = 67.94° and γ = 89.74°. The distinct sites, in fractional coordinates, are Cd at (0.000, 0.000, 0.000), Cd at (0.499, 0.500, 0.000), H at (0.500, 0.500, 0.499), H at (0.999, 0.499, 0.501), Au at (0.254, 0.809, 0.490) and Au at (0.744, 0.189, 0.511).

Most stable = one